Here is crystalline Na2Cd5Ga4 at its relaxed geometry from Alexandria via LeMat-Bulk. Energies are from GGA-PBE.

Properties
crystal system: monoclinic
density: 5.79 Mg/m³
space-group type: C2/m
ΔE_f: -0.02 eV per atom

a b c (Å): 7.165 7.165 9.068
angles (deg): 129.22 129.22 49.56
Positions (direct):
Na: 0.201 0.201 0.202
Na: 0.799 0.799 0.798
Cd: 0.257 0.743 0.329
Cd: 0.257 0.743 0.671
Cd: 0.500 0.500 0.000
Cd: 0.743 0.257 0.329
Cd: 0.743 0.257 0.671
Ga: 0.254 0.254 0.589
Ga: 0.254 0.254 0.920
Ga: 0.746 0.746 0.080
Ga: 0.746 0.746 0.411